Entry 1:
This record from Alexandria describes crystalline RbPmSiS4 at its relaxed geometry. The functional is GGA-PBE.

The structure in POSCAR format:
```
RbPmSiS4
1.0
6.525 0.000 0.000
0.000 6.679 0.000
-2.760 0.000 8.697
Rb Pm Si S
2 2 2 8
Direct
0.227 0.250 0.435 Rb
0.773 0.750 0.565 Rb
0.271 0.250 0.951 Pm
0.729 0.750 0.049 Pm
0.282 0.750 0.171 Si
0.718 0.250 0.829 Si
0.089 0.750 0.320 S
0.091 0.750 0.936 S
0.499 0.501 0.208 S
0.499 0.999 0.208 S
0.501 0.001 0.792 S
0.501 0.499 0.792 S
0.909 0.250 0.064 S
0.911 0.250 0.680 S
```

uncorrected energy = -5.39 eV per atom
spin magnetization = 0.00 μB per atom
E_form (uncorrected) = -1436 meV/atom

Entry 2:
This record from Alexandria describes crystalline TaCdRuO6 at its relaxed geometry. The functional is GGA-PBE.

The structure in POSCAR format:
```
TaCdRuO6
1.0
4.870 0.000 0.000
0.000 4.870 0.000
0.000 0.000 9.473
Ta Cd Ru O
2 2 2 12
Direct
0.000 0.000 0.000 Ta
0.500 0.500 0.500 Ta
0.000 0.000 0.330 Cd
0.500 0.500 0.830 Cd
0.000 0.000 0.661 Ru
0.500 0.500 0.161 Ru
0.176 0.176 0.828 O
0.211 0.211 0.519 O
0.216 0.216 0.140 O
0.284 0.716 0.640 O
0.289 0.711 0.019 O
0.324 0.676 0.328 O
0.676 0.324 0.328 O
0.711 0.289 0.019 O
0.716 0.284 0.640 O
0.784 0.784 0.140 O
0.789 0.789 0.519 O
0.824 0.824 0.828 O
```

uncorrected energy = -7.37 eV per atom
spin magnetization = 0.31 μB per atom
E_form (uncorrected) = -1616 meV/atom

Entry 3:
This record from Alexandria describes crystalline Cs2SmP2S6 at its relaxed geometry. The functional is GGA-PBE.

The structure in POSCAR format:
```
Cs2SmP2S6
1.0
6.212 -3.562 0.000
6.212 3.562 0.000
-3.962 0.000 7.190
Cs Sm P S
2 1 2 6
Direct
0.221 0.221 0.198 Cs
0.779 0.779 0.802 Cs
0.000 0.000 0.500 Sm
0.445 0.445 0.821 P
0.555 0.555 0.179 P
0.237 0.715 0.223 S
0.252 0.252 0.653 S
0.285 0.763 0.777 S
0.715 0.237 0.223 S
0.748 0.748 0.347 S
0.763 0.285 0.777 S
```

uncorrected energy = -4.72 eV per atom
spin magnetization = 0.00 μB per atom
E_form (uncorrected) = -897 meV/atom

Entry 4:
This record from Alexandria describes crystalline TeAuC3 at its relaxed geometry. The functional is GGA-PBE.

The structure in POSCAR format:
```
TeAuC3
1.0
4.194 0.000 0.000
0.000 4.194 0.000
0.000 0.000 4.194
Te Au C
1 1 3
Direct
0.000 0.000 0.000 Te
0.500 0.500 0.500 Au
0.000 0.000 0.500 C
0.000 0.500 0.000 C
0.500 0.000 0.000 C
```

ΔE to the lowest computed polymorph = 0.116 eV/atom
uncorrected energy = -3.76 eV per atom
spin magnetization = 0.00 μB per atom
E_form (uncorrected) = 3055 meV/atom

Entry 5:
This record from Alexandria describes crystalline Cs2InGa2Br6 at its relaxed geometry. The functional is GGA-PBE.

The structure in POSCAR format:
```
Cs2InGa2Br6
1.0
6.998 -4.073 0.000
6.998 4.073 0.000
-5.018 0.000 8.251
Cs In Ga Br
2 1 2 6
Direct
0.215 0.215 0.212 Cs
0.785 0.785 0.788 Cs
0.000 0.000 0.500 In
0.474 0.474 0.850 Ga
0.526 0.526 0.150 Ga
0.183 0.695 0.199 Br
0.263 0.263 0.633 Br
0.305 0.817 0.801 Br
0.695 0.183 0.199 Br
0.737 0.737 0.367 Br
0.817 0.305 0.801 Br
```

uncorrected energy = -2.93 eV per atom
spin magnetization = 0.00 μB per atom
E_form (uncorrected) = -1062 meV/atom

Entry 6:
This record from Alexandria describes crystalline Dy3Ga2Ru2 at its relaxed geometry. The functional is GGA-PBE.

The structure in POSCAR format:
```
Dy3Ga2Ru2
1.0
5.554 0.000 0.000
0.000 7.616 0.000
0.000 0.000 13.965
Dy Ga Ru
12 8 8
Direct
0.118 0.237 0.250 Dy
0.118 0.263 0.750 Dy
0.347 0.599 0.095 Dy
0.347 0.599 0.405 Dy
0.347 0.901 0.595 Dy
0.347 0.901 0.905 Dy
0.653 0.099 0.095 Dy
0.653 0.099 0.405 Dy
0.653 0.401 0.595 Dy
0.653 0.401 0.905 Dy
0.882 0.737 0.250 Dy
0.882 0.763 0.750 Dy
0.136 0.250 0.000 Ga
0.136 0.250 0.500 Ga
0.378 0.606 0.750 Ga
0.378 0.894 0.250 Ga
0.622 0.106 0.750 Ga
0.622 0.394 0.250 Ga
0.864 0.750 0.000 Ga
0.864 0.750 0.500 Ga
0.146 0.537 0.595 Ru
0.146 0.537 0.905 Ru
0.146 0.963 0.095 Ru
0.146 0.963 0.405 Ru
0.854 0.037 0.595 Ru
0.854 0.037 0.905 Ru
0.854 0.463 0.095 Ru
0.854 0.463 0.405 Ru
```

energy of formation from the pure elements = -3.945 eV/f.u.
uncorrected energy = -6.05 eV per atom
spin magnetization = 0.00 μB per atom

Entry 7:
This record from Alexandria describes crystalline YNb2Os2 at its relaxed geometry. The functional is GGA-PBE.

The structure in POSCAR format:
```
YNb2Os2
1.0
7.888 0.000 0.000
0.000 7.888 0.000
0.000 0.000 2.972
Y Nb Os
2 4 4
Direct
0.000 0.000 0.000 Y
0.500 0.500 0.000 Y
0.145 0.355 0.000 Nb
0.355 0.855 0.000 Nb
0.645 0.145 0.000 Nb
0.855 0.645 0.000 Nb
0.148 0.648 0.500 Os
0.352 0.148 0.500 Os
0.648 0.852 0.500 Os
0.852 0.352 0.500 Os
```

energy of formation from the pure elements = -0.142 eV/f.u.
ΔE to the lowest computed polymorph = 0.218 eV/atom
uncorrected energy = -9.84 eV per atom
spin magnetization = 0.00 μB per atom

Entry 8:
This record from Alexandria describes crystalline BaRu2Au at its relaxed geometry. The functional is GGA-PBE.

The structure in POSCAR format:
```
BaRu2Au
1.0
4.261 0.000 0.000
0.000 4.795 0.000
-0.743 0.000 5.164
Ba Ru Au
1 2 1
Direct
0.000 0.000 0.000 Ba
0.258 0.500 0.599 Ru
0.742 0.500 0.401 Ru
0.500 0.000 0.500 Au
```

energy of formation from the pure elements = 1.756 eV/f.u.
ΔE to the lowest computed polymorph = 0.309 eV/atom
uncorrected energy = -5.50 eV per atom
spin magnetization = 0.00 μB per atom

Entry 9:
This record from Alexandria describes crystalline ErTl2InBr6 at its relaxed geometry. The functional is GGA-PBE.

The structure in POSCAR format:
```
ErTl2InBr6
1.0
4.060 2.344 6.949
-4.060 2.344 6.949
0.000 -4.688 6.949
Er Tl In Br
1 2 1 6
Direct
0.000 0.000 0.000 Er
0.304 0.304 0.304 Tl
0.794 0.794 0.794 Tl
0.509 0.509 0.509 In
0.122 0.332 0.764 Br
0.204 0.888 0.659 Br
0.332 0.764 0.122 Br
0.659 0.204 0.888 Br
0.764 0.122 0.332 Br
0.888 0.659 0.204 Br
```

uncorrected energy = -3.44 eV per atom
spin magnetization = 0.00 μB per atom
E_form (uncorrected) = -1234 meV/atom

Entry 10:
This record from Alexandria describes crystalline Cd2PRh at its relaxed geometry. The functional is GGA-PBE.

The structure in POSCAR format:
```
Cd2PRh
1.0
1.590 0.918 8.798
-1.590 0.918 8.798
0.000 -1.836 8.798
Cd P Rh
2 1 1
Direct
0.000 0.000 0.000 Cd
0.232 0.232 0.232 Cd
0.762 0.762 0.762 P
0.480 0.480 0.480 Rh
```

energy of formation from the pure elements = -0.837 eV/f.u.
uncorrected energy = -3.86 eV per atom
spin magnetization = 0.00 μB per atom

Entry 11:
This record from Alexandria describes crystalline CaMnP at its relaxed geometry. The functional is GGA-PBE.

The structure in POSCAR format:
```
CaMnP
1.0
3.741 0.000 0.000
0.000 3.741 0.000
0.000 0.000 8.361
Ca Mn P
2 2 2
Direct
0.250 0.250 0.189 Ca
0.750 0.750 0.811 Ca
0.250 0.750 0.500 Mn
0.750 0.250 0.500 Mn
0.250 0.250 0.662 P
0.750 0.750 0.338 P
```

energy of formation from the pure elements = -2.246 eV/f.u.
uncorrected energy = -6.28 eV per atom
spin magnetization = 0.58 μB per atom

Entry 12:
This record from Alexandria describes crystalline AcTbPd at its relaxed geometry. The functional is GGA-PBE.

The structure in POSCAR format:
```
AcTbPd
1.0
4.979 0.000 0.000
0.000 4.979 0.000
0.000 0.000 7.298
Ac Tb Pd
2 2 2
Direct
0.250 0.250 0.116 Ac
0.750 0.750 0.884 Ac
0.250 0.750 0.500 Tb
0.750 0.250 0.500 Tb
0.250 0.250 0.705 Pd
0.750 0.750 0.295 Pd
```

energy of formation from the pure elements = -1.667 eV/f.u.
ΔE to the lowest computed polymorph = 0.000 eV/atom
uncorrected energy = -5.20 eV per atom
spin magnetization = 0.00 μB per atom

Entry 13:
This record from Alexandria describes crystalline Y7Ho2 at its relaxed geometry. The functional is GGA-PBE.

The structure in POSCAR format:
```
Y7Ho2
1.0
9.694 0.000 0.000
-4.847 8.395 0.000
0.000 0.000 3.579
Y Ho
7 2
Direct
0.000 0.000 0.000 Y
0.000 0.306 0.500 Y
0.000 0.638 0.000 Y
0.306 0.000 0.500 Y
0.362 0.362 0.000 Y
0.638 0.000 0.000 Y
0.694 0.694 0.500 Y
0.333 0.667 0.500 Ho
0.667 0.333 0.500 Ho
```

energy of formation from the pure elements = 0.292 eV/f.u.
ΔE to the lowest computed polymorph = 0.005 eV/atom
uncorrected energy = -6.01 eV per atom
spin magnetization = 0.30 μB per atom

Entry 14:
This record from Alexandria describes crystalline LaTcAg at its relaxed geometry. The functional is GGA-PBE.

The structure in POSCAR format:
```
LaTcAg
1.0
0.000 3.310 3.310
3.310 0.000 3.310
3.310 3.310 0.000
La Tc Ag
1 1 1
Direct
0.000 0.000 0.000 La
0.250 0.250 0.250 Tc
0.500 0.500 0.500 Ag
```

energy of formation from the pure elements = 1.753 eV/f.u.
ΔE to the lowest computed polymorph = 0.164 eV/atom
uncorrected energy = -5.46 eV per atom
spin magnetization = 0.34 μB per atom

Entry 15:
This record from Alexandria describes crystalline SmPRh2 at its relaxed geometry. The functional is GGA-PBE.

The structure in POSCAR format:
```
SmPRh2
1.0
3.906 0.000 0.000
0.000 3.906 0.000
0.000 0.000 9.346
Sm P Rh
2 2 4
Direct
0.250 0.250 0.216 Sm
0.750 0.750 0.784 Sm
0.250 0.250 0.650 P
0.750 0.750 0.350 P
0.250 0.250 0.896 Rh
0.250 0.750 0.500 Rh
0.750 0.250 0.500 Rh
0.750 0.750 0.104 Rh
```

energy of formation from the pure elements = -3.819 eV/f.u.
uncorrected energy = -7.16 eV per atom
spin magnetization = 0.00 μB per atom

Entry 16:
This record from Alexandria describes crystalline Ba3Os2N4 at its relaxed geometry. The functional is GGA-PBE.

The structure in POSCAR format:
```
Ba3Os2N4
1.0
6.200 -4.846 0.000
6.200 4.846 0.000
-0.664 0.000 5.628
Ba Os N
6 4 8
Direct
0.094 0.906 0.750 Ba
0.242 0.505 0.463 Ba
0.494 0.758 0.037 Ba
0.505 0.242 0.963 Ba
0.758 0.494 0.537 Ba
0.906 0.094 0.250 Ba
0.080 0.342 0.932 Os
0.342 0.080 0.432 Os
0.658 0.920 0.568 Os
0.920 0.658 0.068 Os
0.143 0.221 0.617 N
0.168 0.570 0.956 N
0.221 0.143 0.117 N
0.430 0.832 0.544 N
0.570 0.168 0.456 N
0.779 0.857 0.883 N
0.832 0.430 0.044 N
0.857 0.779 0.383 N
```

uncorrected energy = -6.92 eV per atom
spin magnetization = 0.00 μB per atom
E_form (uncorrected) = -79 meV/atom

Entry 17:
This record from Alexandria describes crystalline YAlSe3 at its relaxed geometry. The functional is GGA-PBE.

The structure in POSCAR format:
```
YAlSe3
1.0
6.907 0.000 0.000
0.000 10.972 0.000
0.000 0.000 6.936
Y Al Se
4 4 12
Direct
0.000 0.000 0.000 Y
0.000 0.500 0.000 Y
0.500 0.000 0.500 Y
0.500 0.500 0.500 Y
0.023 0.250 0.457 Al
0.477 0.750 0.957 Al
0.523 0.250 0.043 Al
0.977 0.750 0.543 Al
0.151 0.086 0.645 Se
0.151 0.414 0.645 Se
0.155 0.250 0.124 Se
0.345 0.750 0.624 Se
0.349 0.586 0.145 Se
0.349 0.914 0.145 Se
0.651 0.086 0.855 Se
0.651 0.414 0.855 Se
0.655 0.250 0.376 Se
0.845 0.750 0.876 Se
0.849 0.586 0.355 Se
0.849 0.914 0.355 Se
```

ΔE to the lowest computed polymorph = 0.179 eV/atom
uncorrected energy = -5.32 eV per atom
spin magnetization = 0.00 μB per atom
E_form (uncorrected) = -1192 meV/atom

Entry 18:
This record from Alexandria describes crystalline Ac2La3Cd at its relaxed geometry. The functional is GGA-PBE.

The structure in POSCAR format:
```
Ac2La3Cd
1.0
3.885 0.000 0.000
0.000 3.885 0.000
0.000 0.000 14.670
Ac La Cd
2 3 1
Direct
0.000 0.000 0.184 Ac
0.000 0.000 0.816 Ac
0.500 0.500 0.000 La
0.500 0.500 0.362 La
0.500 0.500 0.638 La
0.000 0.000 0.500 Cd
```

energy of formation from the pure elements = -0.645 eV/f.u.
uncorrected energy = -4.09 eV per atom
spin magnetization = 0.00 μB per atom

Entry 19:
This record from Alexandria describes crystalline Cu5As at its relaxed geometry. The functional is GGA-PBE.

The structure in POSCAR format:
```
Cu5As
1.0
4.809 0.000 0.000
-2.404 4.164 0.000
0.000 0.000 4.192
Cu As
5 1
Direct
0.000 0.500 0.000 Cu
0.333 0.667 0.500 Cu
0.500 0.000 0.000 Cu
0.500 0.500 0.000 Cu
0.667 0.333 0.500 Cu
0.000 0.000 0.500 As
```

energy of formation from the pure elements = 1.304 eV/f.u.
uncorrected energy = -3.97 eV per atom
spin magnetization = 0.00 μB per atom

Entry 20:
This record from Alexandria describes crystalline LiY2TiBr at its relaxed geometry. The functional is GGA-PBE.

The structure in POSCAR format:
```
LiY2TiBr
1.0
5.483 0.000 0.000
0.000 5.483 0.000
0.000 0.000 4.517
Li Y Ti Br
1 2 1 1
Direct
0.000 0.000 0.000 Li
0.000 0.500 0.000 Y
0.500 0.000 0.000 Y
0.000 0.000 0.500 Ti
0.500 0.500 0.500 Br
```

uncorrected energy = -4.42 eV per atom
spin magnetization = 0.60 μB per atom
E_form (uncorrected) = 465 meV/atom